(1)
This record from Alexandria via LeMat-Bulk describes a relaxed structure of LiCuBi2. The functional is PBE.

Lattice parameters (Å, degrees): 4.026 4.728 4.728 90.00 90.00 90.00
Fractional positions:
Bi1 0.000 0.500 0.000
Bi2 0.000 0.000 0.500
Li1 0.500 0.500 0.500
Cu1 0.500 0.000 0.000

Properties
ΔE_f	-2.7	kJ/mol of atoms
polymorph energy (0 for the lowest one)	4	meV per atom
D(E_F)	1.48	states/eV per cell
calculated volume	22.494	Å³/atom

***

(2)
This record from Alexandria via LeMat-Bulk describes a relaxed structure of NaBeRe2Au. The functional is PBE.

Lattice parameters (Å, degrees): 4.999 4.927 4.999 90.00 90.00 90.00
Site moments in Bohr magnetons follow the coordinates.
Fractional positions:
Au1 0.000 0.000 0.000  0.22
Na1 0.000 0.500 0.000  -0.01
Re1 0.500 0.000 0.000  2.03
Re2 0.000 0.000 0.500  2.44
Be1 0.500 0.500 0.500  -0.09

Properties
ΔE_f	235.3	kJ/mol of atoms
D(E_F)	5.40	states/eV per cell
calculated volume	24.628	Å³/atom

***

(3)
This record from Alexandria via LeMat-Bulk describes a relaxed structure of Y4SiW. The functional is PBE.

Lattice parameters (Å, degrees): 5.963 5.963 5.963 60.00 60.00 60.00
Fractional positions:
Y1 0.373 0.373 0.373
Y2 0.373 0.880 0.373
Y3 0.373 0.373 0.880
Y4 0.880 0.373 0.373
W1 0.000 0.000 0.000
Si1 0.750 0.750 0.750

Properties
raw formation energy	0.989	eV per atom
D(E_F)	7.39	states/eV per cell
calculated volume	24.985	Å³/atom

***

(4)
This record from Alexandria via LeMat-Bulk describes a relaxed structure of HfPdSe2N. The functional is PBE.

Lattice parameters (Å, degrees): 5.084 5.084 3.704 90.00 90.00 90.00
Site moments in Bohr magnetons follow the coordinates.
Fractional positions:
Hf1 0.500 0.500 0.500  0.41
N1 0.000 0.000 0.500  0.03
Pd1 0.000 0.000 0.000  0.03
Se1 0.500 0.000 0.000  -0.02
Se2 0.000 0.500 0.000  -0.02

Properties
polymorph energy (0 for the lowest one)	324	meV per atom
raw formation energy	0.476	eV per atom
D(E_F)	3.39	states/eV per cell
calculated volume	19.147	Å³/atom

***

(5)
This record from Alexandria via LeMat-Bulk describes a relaxed structure of SbRuSe. The functional is PBE.

Lattice parameters (Å, degrees): 4.442 4.442 3.364 90.00 90.00 120.00
Fractional positions:
Se1 0.667 0.333 0.833
Ru1 0.000 0.000 0.833
Sb1 0.333 0.667 0.334

Properties
raw formation energy	0.228	eV per atom
D(E_F)	2.97	states/eV per cell
calculated volume	19.159	Å³/atom

***

(6)
This record from Alexandria via LeMat-Bulk describes a relaxed structure of Co2TcPt. The functional is PBE.

Lattice parameters (Å, degrees): 4.031 2.642 5.033 74.77 90.00 90.00
Site moments in Bohr magnetons follow the coordinates.
Fractional positions:
Co1 0.500 0.064 0.248  1.37
Co2 0.000 0.190 0.995  1.28
Tc1 0.500 0.796 0.783  -0.18
Pt1 0.000 0.451 0.473  0.20

Properties
ΔE_f	1.5	kJ/mol of atoms
polymorph energy (0 for the lowest one)	28	meV per atom
D(E_F)	4.66	states/eV per cell
calculated volume	12.927	Å³/atom